The following is a DFT calculation (meta-GGA SCAN) of a PBEsol-optimized structure of SiTePb. Values from VASP.

```
&SYSTEM
  ibrav = 0, nat = 3, ntyp = 3
/
ATOMIC_SPECIES
Pb 207.20 Pb.upf
Si 28.09 Si.upf
Te 127.60 Te.upf
CELL_PARAMETERS angstrom
4.891 0.000 0.000
2.445 4.236 0.000
2.445 1.412 3.993
ATOMIC_POSITIONS angstrom
Pb 4.891 2.824 1.997
Si 7.336 4.236 2.995
Te 0.000 0.000 0.000
```

Computed properties:
Energy relative to the lowest polymorph listed for this composition, meV/atom: 223
Symmetry: No. 216
Total magnetization, μB per formula unit: 0.0
Uncorrected formation energy, meV/atom: 494
Total energy, eV per atom: -40.522
D(E_F), states/eV/atom: 1.056